(1)
## As2Br (PBE)

Data for a geometry-optimized As2Br structure.

Total energy (eV/atom): -3.2041
Space-group type: Fd-3m (227)
Volume (Å³/atom): 21.68
ΔE to the lowest computed polymorph (eV/atom): 0.603
Uncorrected formation energy (eV per atom): 0.45

Cell: 5.688 5.688 5.688 Å, 60.00 60.00 60.00°
Sites, in units of the cell vectors:
As 0.000 0.000 0.000
As 0.000 0.000 0.500
As 0.000 0.500 0.000
As 0.500 0.000 0.000
Br 0.375 0.375 0.375
Br 0.625 0.625 0.625

(2)
## AsBr3 (PBE)

Data for a geometry-optimized AsBr3 structure.

Total energy (eV/atom): -2.4409
Space-group type: Immm (71)
Volume (Å³/atom): 33.01
Uncorrected formation energy (eV per atom): -0.02

Cell: 7.602 7.602 7.602 Å, 152.96 138.40 50.32°
Sites, in units of the cell vectors:
As 0.000 0.000 0.000
Br 0.147 0.647 0.500
Br 0.500 0.500 0.000
Br 0.853 0.353 0.500

(3)
## AsBr3 (PBE)

Data for a geometry-optimized AsBr3 structure.

Total energy (eV/atom): -2.2783
Space-group type: Cmmm (65)
Volume (Å³/atom): 34.38
Uncorrected formation energy (eV per atom): 0.14

Cell: 3.982 3.982 10.649 Å, 90.00 90.00 125.45°
Sites, in units of the cell vectors:
As 0.000 0.000 0.000
Br 0.000 0.000 0.500
Br 0.500 0.500 0.178
Br 0.500 0.500 0.822

(4)
## AsBr (PBE)

Data for a geometry-optimized AsBr structure.

Total energy (eV/atom): -2.6485
Space-group type: R-3m (166)
Volume (Å³/atom): 22.97
ΔE to the lowest computed polymorph (eV/atom): 0.748
Uncorrected formation energy (eV per atom): 0.51

Cell: 4.815 4.815 4.815 Å, 42.39 42.39 42.39°
Sites, in units of the cell vectors:
As 0.000 0.000 0.000
Br 0.500 0.500 0.500

(5)
## As7Br6 (PBE)

Data for a geometry-optimized As7Br6 structure.

Total energy (eV/atom): -3.1231
Space-group type: R-3m (166)
Volume (Å³/atom): 31.07
Uncorrected formation energy (eV per atom): 0.15

Cell: 9.935 9.935 9.935 Å, 42.41 42.41 42.41°
Sites, in units of the cell vectors:
As 0.000 0.000 0.000
As 0.035 0.035 0.691
As 0.035 0.691 0.035
As 0.309 0.965 0.965
As 0.691 0.035 0.035
As 0.965 0.309 0.965
As 0.965 0.965 0.309
Br 0.176 0.176 0.176
Br 0.346 0.346 0.346
Br 0.453 0.453 0.453
Br 0.547 0.547 0.547
Br 0.654 0.654 0.654
Br 0.824 0.824 0.824

(6)
## As2Br (PBE)

Data for a geometry-optimized As2Br structure.

Total energy (eV/atom): -3.6585
Space-group type: C2/m (12)
Volume (Å³/atom): 31.57
ΔE to the lowest computed polymorph (eV/atom): 0.149
Uncorrected formation energy (eV per atom): 0.00

Cell: 8.031 8.031 7.149 Å, 110.17 110.17 26.06°
Sites, in units of the cell vectors:
As 0.171 0.171 0.489
As 0.295 0.295 0.249
As 0.705 0.705 0.751
As 0.829 0.829 0.511
Br 0.437 0.437 0.183
Br 0.563 0.563 0.817